Entry 1:
Compound: Mg6PdRh
Source: Alexandria
Functional: PBE
Structure: relaxed

a b c (Å): 6.0154 6.0154 6.0882
angles (deg): 102.47 102.47 121.37
With the nearest neighbours (Å) after each atom.
Positions (direct):
1 Mg 0.0511 0.4440 0.2468  1 Rh 2.59, 1 Pd 2.61
2 Mg 0.2488 0.2488 0.7522  1 Rh 2.53, 1 Pd 2.56
3 Mg 0.4440 0.0511 0.2468  1 Rh 2.59, 1 Pd 2.61
4 Mg 0.5560 0.9489 0.7532  1 Rh 2.59, 1 Pd 2.61
5 Mg 0.7512 0.7512 0.2478  1 Rh 2.53, 1 Pd 2.56
6 Mg 0.9489 0.5560 0.7532  1 Rh 2.59, 1 Pd 2.61
7 Pd 0.5000 0.5000 0.5000  6 Mg 2.56-2.61
8 Rh 0.0000 0.0000 0.0000  6 Mg 2.53-2.59

crystal system	monoclinic
uncorrected energy	-0.108	hartree per atom
calculated volume	21.1	A^3/atom
energy above the lowest structure with this stoichiometry	190.2	meV per atom
symmetry	C2/m

Entry 2:
Compound: Hg2BiPd
Source: Alexandria
Functional: PBE
Structure: relaxed

a b c (Å): 11.2003 11.2003 11.2003
angles (deg): 16.84 16.84 16.84
With the nearest neighbours (Å) after each atom.
Positions (direct):
1 Hg 0.0807 0.0807 0.0807  1 Pd 2.67
2 Hg 0.9193 0.9193 0.9193  1 Pd 2.67
3 Bi 0.5000 0.5000 0.5000  6 Bi 3.28, 6 Hg 3.42
4 Pd 0.0000 0.0000 0.0000  2 Hg 2.67

crystal system	trigonal
uncorrected energy	-0.078	hartree per atom
calculated volume	25.7	A^3/atom
symmetry	R-3m

Entry 3:
Compound: Pr8Sm4Cd
Source: Alexandria
Functional: PBE
Structure: relaxed

a b c (Å): 7.8473 7.8473 7.8473
angles (deg): 97.21 97.21 97.21
With the nearest neighbours (Å) after each atom.
Positions (direct):
1 Pr 0.1694 0.1694 0.6660  3 Sm 3.39-3.42, 3 Pr 3.42-3.54
2 Pr 0.1694 0.6660 0.1694  3 Sm 3.39-3.42, 3 Pr 3.42-3.54
3 Pr 0.2431 0.2431 0.2431  1 Sm 2.86, 1 Cd 3.02
4 Pr 0.3340 0.8306 0.8306  3 Sm 3.39-3.42, 3 Pr 3.42-3.54
5 Pr 0.6660 0.1694 0.1694  3 Sm 3.39-3.42, 3 Pr 3.42-3.54
6 Pr 0.7569 0.7569 0.7569  1 Sm 2.86, 1 Cd 3.02
7 Pr 0.8306 0.3340 0.8306  3 Sm 3.39-3.42, 3 Pr 3.42-3.54
8 Pr 0.8306 0.8306 0.3340  3 Sm 3.39-3.42, 3 Pr 3.42-3.54
9 Sm 0.0000 0.0000 0.0000  2 Pr 2.86
10 Sm 0.0000 0.5000 0.5000  6 Pr 3.39-3.56
11 Sm 0.5000 0.0000 0.5000  6 Pr 3.39-3.56
12 Sm 0.5000 0.5000 0.0000  6 Pr 3.39-3.56
13 Cd 0.5000 0.5000 0.5000  2 Pr 3.02

crystal system	trigonal
uncorrected energy	-0.151	hartree per atom
calculated volume	36.2	A^3/atom
symmetry	R-3m

Entry 4:
Compound: HfP2Au
Source: Alexandria
Functional: PBE
Structure: relaxed

a b c (Å): 4.5738 4.5738 4.5738
angles (deg): 60.00 60.00 60.00
With the nearest neighbours (Å) after each atom.
Positions (direct):
1 Hf 0.0000 0.0000 0.0000  8 P 2.80
2 P 0.2500 0.2500 0.2500  4 Hf 2.80, 4 Au 2.80
3 P 0.7500 0.7500 0.7500  4 Hf 2.80, 4 Au 2.80
4 Au 0.5000 0.5000 0.5000  8 P 2.80

crystal system	cubic
uncorrected energy	-0.226	hartree per atom
calculated volume	16.9	A^3/atom
energy above the lowest structure with this stoichiometry	64.1	meV per atom
symmetry	Fm-3m

Entry 5:
Compound: NiSbRh
Source: Alexandria
Functional: PBE
Structure: relaxed

a b c (Å): 4.6690 4.6690 4.6690
angles (deg): 140.64 133.19 62.77
With the nearest neighbours (Å) after each atom.
Positions (direct):
1 Ni 0.0000 0.0000 0.0000  5 Sb 2.63-2.78, 5 Rh 2.70-2.75
2 Sb 0.3300 0.3300 0.0000  5 Ni 2.63-2.78, 5 Rh 2.65-2.78
3 Rh 0.6619 0.6619 0.0000  5 Sb 2.65-2.78, 5 Ni 2.70-2.75

crystal system	orthorhombic
uncorrected formation energy	-0.1069	eV/atom
uncorrected energy	-0.215	hartree per atom
calculated volume	15.5	A^3/atom
symmetry	Imm2

Entry 6:
Compound: P2RhAuCl
Source: Alexandria
Functional: PBE
Structure: relaxed

a b c (Å): 4.5604 4.5604 4.9330
angles (deg): 90.00 90.00 90.00
With the nearest neighbours (Å) after each atom.
Positions (direct):
1 P 0.0000 0.5000 0.0000  2 Rh 2.28
2 P 0.5000 0.0000 0.0000  2 Rh 2.28
3 Rh 0.0000 0.0000 0.0000  4 P 2.28, 2 Cl 2.47
4 Au 0.5000 0.5000 0.5000  4 Cl 3.22, 8 P 3.36
5 Cl 0.0000 0.0000 0.5000  2 Rh 2.47

crystal system	tetragonal
uncorrected formation energy	0.5461	eV/atom
uncorrected energy	-0.151	hartree per atom
calculated volume	20.5	A^3/atom
energy above the lowest structure with this stoichiometry	0.0	meV per atom
symmetry	P4/mmm